Record 1
Here is a crystal of Ag2Pb relaxed with PBEsol from Alexandria via LeMat-Bulk. Energies are from SCAN.

abc: 4.802 5.241 5.556
angles: 118.14 90.00 90.00
Element x y z (fractional)
1 Ag 0.250 0.848 0.377
2 Ag 0.750 0.152 0.623
3 Ag 0.250 0.471 0.623
4 Pb 0.250 0.212 0.000
5 Pb 0.750 0.788 0.000
6 Ag 0.750 0.529 0.377

Results
V: 20.55 A^3/atom
DOS(E_F): 1.09 states/eV/f.u.
Calculated total energy: -46.07 eV/atom
Magnetization: 0.00 μB/cell



Record 2
Here is a crystal of TlV6S8 relaxed with PBEsol from Alexandria via LeMat-Bulk. Energies are from SCAN.

abc: 3.185 9.055 9.055
angles: 120.00 90.00 90.00
Element x y z (fractional)
1 S 0.246 0.293 0.347
2 S 0.754 0.707 0.653
3 S 0.754 0.946 0.293
4 S 0.249 0.667 0.333
5 S 0.246 0.653 0.946
6 V 0.748 0.883 0.510
7 S 0.751 0.333 0.667
8 V 0.252 0.117 0.490
9 V 0.252 0.373 0.883
10 S 0.246 0.054 0.707
11 V 0.748 0.627 0.117
12 V 0.252 0.510 0.627
13 V 0.748 0.490 0.373
14 S 0.754 0.347 0.054
15 Tl 0.500 0.000 0.000

Results
V: 15.08 A^3/atom
DOS(E_F): 6.14 states/eV/f.u.
Calculated total energy: -18.02 eV/atom
Magnetization: 0.00 μB/cell



Record 3
Here is a crystal of InTcCl2 relaxed with PBEsol from Alexandria via LeMat-Bulk. Energies are from SCAN.

abc: 3.249 3.249 9.338
angles: 79.98 79.98 60.00
Element x y z (fractional)
1 Cl 0.722 0.722 0.833
2 Tc 0.000 0.000 0.000
3 Cl 0.278 0.278 0.167
4 In 0.500 0.500 0.500

Results
Offset from the most stable computed form: 0.117 eV/atom
V: 20.91 A^3/atom
DOS(E_F): 1.55 states/eV/f.u.
Magnetization: 0.84 μB/cell